--- i ---
PBE CdMo, optimized geometry; SG = P6_3mc, No. 186; Fermi-level density of states = 6.763 states/eV/cell; ρ = 9.203 Mg/m³; M_tot = 0.0 μB/cell
1.0
2.835 0.000 0.000
-1.418 2.456 0.000
0.000 0.000 10.799
Cd Mo
2 2
Direct
0.333 0.667 0.053
0.667 0.333 0.553
0.333 0.667 0.318
0.667 0.333 0.818


--- ii ---
PBE CdMo, optimized geometry; SG = R-3m, No. 166; Fermi-level density of states = 1.654 states/eV/cell; ρ = 9.680 Mg/m³; M_tot = 0.0 μB/cell
1.0
5.248 0.004 0.002
4.455 2.772 0.002
4.455 1.275 2.462
Cd Mo
1 1
Direct
0.000 0.000 0.000
0.500 0.500 0.500


Short version: i is the least stable of them.